Below is a relaxed structure of Tb5PrTe8, with properties calculated at the PBE-GGA level.

Formation energy from raw total energies in meV per atom: -1363.8
Total DFT energy (no corrections) in eV/f.u.: -72.16
Space-group type: I-4 (82)
M_tot in μB per formula unit: 0.00

Unit cell a=8.3648 b=8.3648 c=8.3648 alpha=106.00 beta=116.67 gamma=106.00
Fractional coordinates of all 14 atoms:
Tb1 0.6725 0.5482 0.6283
Tb2 0.0801 0.4518 0.1243
Tb3 0.5000 0.0000 0.5000
Tb4 0.3717 0.0442 0.9199
Tb5 0.8757 0.9558 0.3275
Te1 0.7283 0.2560 0.3735
Te2 0.1175 0.7440 0.4723
Te3 0.5277 0.6452 0.2717
Te4 0.1234 0.7620 0.9887
Te5 0.0113 0.1347 0.7733
Te6 0.6386 0.8653 0.8766
Te7 0.2267 0.2380 0.3614
Te8 0.6265 0.3548 0.8825
Pr1 0.2500 0.5000 0.7500

Below is a relaxed structure of Tb3PrTe4, with properties calculated at the PBE-GGA level.

Formation energy from raw total energies in meV per atom: -1339.0
Total DFT energy (no corrections) in eV/f.u.: -41.95
Space-group type: Cmmm (65)
M_tot in μB per formula unit: 0.00

Unit cell a=4.3500 b=7.6811 c=7.6811 alpha=108.72 beta=90.00 gamma=90.00
Fractional coordinates of all 8 atoms:
Te1 0.0000 0.2586 0.2586
Te2 0.0000 0.7414 0.7414
Te3 0.5000 0.7458 0.2542
Te4 0.5000 0.2542 0.7458
Tb1 0.5000 0.5000 0.5000
Tb2 0.0000 0.5000 0.0000
Tb3 0.0000 0.0000 0.5000
Pr1 0.5000 0.0000 0.0000

Below is a relaxed structure of TbPrTe2, with properties calculated at the PBE-GGA level.

Formation energy from raw total energies in meV per atom: -1400.7
Total DFT energy (no corrections) in eV/f.u.: -21.30
Energy above the lowest structure with this stoichiometry in meV/atom: 0
Space-group type: R3m (160)
M_tot in μB per formula unit: 0.00

Unit cell a=4.3280 b=4.3280 c=8.1225 alpha=74.55 beta=74.55 gamma=60.00
Fractional coordinates of all 4 atoms:
Te1 0.0788 0.0788 0.7636
Te2 0.2543 0.2543 0.2370
Pr1 0.4961 0.4961 0.5117
Tb1 0.6707 0.6707 0.9878

Question: Which value of total DFT energy (no corrections) does entry 2 give?
Answer: -41.95 eV/f.u.

Question: Which of these has the highest formation energy from raw total energies?
Answer: Tb3PrTe4